(1)
First-principles (PBE) data for a geometry-optimized V6H3C2N structure, as listed in Alexandria.

Unit cell a=5.0084 b=5.0084 c=4.9356 alpha=99.75 beta=99.75 gamma=120.00
With the nearest neighbours (Å) after each atom.
Fractional positions:
V  0.9184  0.5870  0.7562  1 N 2.01, 2 C 2.02, 3 H 2.04-2.05
V  0.7509  0.7509  0.2422  1 N 2.00, 2 C 2.02, 3 H 2.06-2.07
V  0.0816  0.4130  0.2438  1 N 2.01, 2 C 2.02, 3 H 2.04-2.05
V  0.5870  0.9184  0.7562  1 N 2.01, 2 C 2.02, 3 H 2.04-2.05
V  0.2491  0.2491  0.7578  1 N 2.00, 2 C 2.02, 3 H 2.06-2.07
V  0.4130  0.0816  0.2438  1 N 2.01, 2 C 2.02, 3 H 2.04-2.05
H  0.1687  0.8313  0.5000  6 V 2.04-2.06
H  0.8313  0.1687  0.5000  6 V 2.04-2.06
H  0.5000  0.5000  0.5000  6 V 2.05-2.07
C  0.3334  0.6666  0.0000  6 V 2.02
C  0.6666  0.3334  0.0000  6 V 2.02
N  0.0000  0.0000  0.0000  6 V 2.00-2.01

Results
For the total magnetic moment, the calculation gives 0.0 μB/f.u. The calculated total energy comes out at -8.201 eV/atom.

***

(2)
First-principles (PBE) data for a geometry-optimized TbYI2 structure, as listed in Alexandria.

Unit cell a=3.8537 b=3.8537 c=10.8973 alpha=79.82 beta=79.82 gamma=60.00
With the nearest neighbours (Å) after each atom.
Fractional positions:
I  0.0978  0.0978  0.7066  1 Tb 3.13, 3 Y 3.13
I  0.9022  0.9022  0.2934  1 Tb 3.13, 3 Y 3.13
Y  0.5000  0.5000  0.5000  6 I 3.13
Tb  0.0000  0.0000  0.0000  2 I 3.13

Results
For the total magnetic moment, the calculation gives 0.0 μB/f.u. The value obtained for the formation energy from raw total energies is -0.64 eV/atom.

***

(3)
First-principles (PBE) data for a geometry-optimized Ta4Tl structure, as listed in Alexandria.

Unit cell a=5.5242 b=5.5242 c=5.5242 alpha=95.81 beta=95.81 gamma=142.89
With the nearest neighbours (Å) after each atom.
Fractional positions:
Ta  0.8109  0.4041  0.2150  7 Ta 2.83-3.14, 2 Tl 2.98
Ta  0.4041  0.1891  0.5933  7 Ta 2.83-3.14, 2 Tl 2.98
Ta  0.1891  0.5959  0.7850  7 Ta 2.83-3.14, 2 Tl 2.98
Ta  0.5959  0.8109  0.4067  7 Ta 2.83-3.14, 2 Tl 2.98
Tl  0.0000  0.0000  0.0000  12 Ta 2.98-3.30

Results
Its energy of formation is 0.24 eV per atom. As for the energy above the most stable polymorph in this dataset: 0 meV/atom. For the total magnetic moment, the calculation gives 0.0 μB/f.u.

***

(4)
First-principles (PBE) data for a geometry-optimized Sr2SmGaCu2O7 structure, as listed in Alexandria.

Unit cell a=12.2795 b=12.2795 c=12.2795 alpha=154.39 beta=153.82 gamma=36.95
With the nearest neighbours (Å) after each atom.
Fractional positions:
O  0.8685  0.3640  0.7325  2 Ga 1.92-1.93
O  0.1315  0.8640  0.4955  2 Ga 1.92-1.93
O  0.8169  0.3192  0.0040  2 Cu 1.95
O  0.1831  0.1871  0.5023  2 Cu 1.95
O  0.8152  0.8192  0.5023  2 Cu 1.95
O  0.1848  0.6871  0.0040  2 Cu 1.95
O  0.3117  0.8142  0.9981  2 Cu 1.96-1.97
O  0.6883  0.6864  0.5025  2 Cu 1.96-1.97
O  0.3161  0.3142  0.5025  2 Cu 1.96-1.97
O  0.6839  0.1864  0.9981  2 Cu 1.96-1.97
O  0.6306  0.7075  0.9835  1 Ga 1.85
O  0.3694  0.3530  0.0770  1 Ga 1.85
O  0.2240  0.2075  0.0770  1 Ga 1.85
O  0.7760  0.8530  0.9835  1 Ga 1.85
Sr  0.1711  0.6508  0.5174  3 O 2.48-2.62
Sr  0.8289  0.3463  0.4797  3 O 2.48-2.62
Sr  0.6335  0.1508  0.4797  3 O 2.48-2.62
Sr  0.3665  0.8463  0.5174  3 O 2.48-2.62
Cu  0.0727  0.0760  0.0009  4 O 1.95-1.97
Cu  0.9273  0.9282  0.0033  4 O 1.95-1.97
Cu  0.5751  0.5760  0.0033  4 O 1.95-1.97
Cu  0.4249  0.4282  0.0009  4 O 1.95-1.97
Ga  0.1800  0.2142  0.8942  4 O 1.85-1.93
Ga  0.8200  0.7142  0.0341  4 O 1.85-1.93
Sm  0.0000  0.5018  0.5018  8 O 2.44-2.49
Sm  0.5000  0.0018  0.5018  8 O 2.44-2.49

Results
For the total magnetic moment, the calculation gives 0.0 μB/f.u. The value obtained for the formation energy from raw total energies is -2.10 eV/atom.

***

(5)
First-principles (PBE) data for a geometry-optimized TaTiIr3 structure, as listed in Alexandria.

Unit cell a=7.0465 b=7.0465 c=5.0132 alpha=90.00 beta=90.00 gamma=135.81
With the nearest neighbours (Å) after each atom.
Fractional positions:
Ta  0.1813  0.8187  0.7500  8 Ir 2.57-2.86
Ta  0.8187  0.1813  0.2500  8 Ir 2.57-2.86
Ti  0.5294  0.4706  0.7500  2 Ti 2.62, 2 Ir 2.70
Ti  0.4706  0.5294  0.2500  2 Ti 2.62, 2 Ir 2.70
Ir  0.6005  0.9011  0.7500  3 Ta 2.57-2.86, 4 Ir 2.64-2.68, 1 Ti 2.70
Ir  0.0989  0.3995  0.7500  3 Ta 2.57-2.86, 4 Ir 2.64-2.68, 1 Ti 2.70
Ir  0.9011  0.6005  0.2500  3 Ta 2.57-2.86, 4 Ir 2.64-2.68, 1 Ti 2.70
Ir  0.3995  0.0989  0.2500  3 Ta 2.57-2.86, 4 Ir 2.64-2.68, 1 Ti 2.70
Ir  0.0000  0.0000  0.0000  6 Ir 2.51-2.68, 2 Ta 2.68
Ir  0.0000  0.0000  0.5000  6 Ir 2.51-2.68, 2 Ta 2.68

Results
Its energy of formation is -0.22 eV per atom. As for the energy above the most stable polymorph in this dataset: 0 meV/atom. For the total magnetic moment, the calculation gives 0.0 μB/f.u.

***

(6)
First-principles (PBE) data for a geometry-optimized Ac2HoIr3O12 structure, as listed in Alexandria.

Unit cell a=6.7691 b=6.7691 c=6.7691 alpha=64.51 beta=64.51 gamma=64.51
With the nearest neighbours (Å) after each atom.
Fractional positions:
Ac  0.6167  0.6167  0.6167  3 O 2.41
Ac  0.3833  0.3833  0.3833  3 O 2.41
Ho  0.0000  0.0000  0.0000  6 O 2.41
Ir  0.5000  0.0000  0.0000  6 O 1.96-1.97
Ir  0.0000  0.5000  0.0000  6 O 1.96-1.97
Ir  0.0000  0.0000  0.5000  6 O 1.96-1.97
O  0.2922  0.2922  0.8652  2 Ir 1.97
O  0.8616  0.8616  0.4121  1 Ir 1.96
O  0.4121  0.8616  0.8616  1 Ir 1.96
O  0.8652  0.2922  0.2922  2 Ir 1.97
O  0.8616  0.4121  0.8616  1 Ir 1.96
O  0.2922  0.8652  0.2922  2 Ir 1.97
O  0.7078  0.7078  0.1348  2 Ir 1.97
O  0.1384  0.1384  0.5879  1 Ir 1.96
O  0.5879  0.1384  0.1384  1 Ir 1.96
O  0.1348  0.7078  0.7078  2 Ir 1.97
O  0.1384  0.5879  0.1384  1 Ir 1.96
O  0.7078  0.1348  0.7078  2 Ir 1.97

Results
For the total magnetic moment, the calculation gives 0.0 μB/f.u. The value obtained for the formation energy from raw total energies is -1.78 eV/atom.

***

(7)
First-principles (PBE) data for a geometry-optimized RePH structure, as listed in Alexandria.

Unit cell a=6.2918 b=3.0442 c=8.2063 alpha=90.00 beta=121.69 gamma=90.00
With the nearest neighbours (Å) after each atom.
Fractional positions:
Re  0.8217  0.0000  0.2394  2 H 1.79-1.96
Re  0.8217  0.5000  0.7394  2 H 1.79-1.96
Re  0.2856  0.0000  0.8739  3 H 1.80-1.86
Re  0.2856  0.5000  0.3739  3 H 1.80-1.86
P  0.9178  0.0000  0.5683  3 H 2.22-2.36, 4 Re 2.36-2.44
P  0.9178  0.5000  0.0683  3 H 2.22-2.36, 4 Re 2.36-2.44
P  0.4180  0.0000  0.2109  4 Re 2.43-2.44, 4 H 2.44-2.46
P  0.4180  0.5000  0.7109  4 Re 2.43-2.44, 4 H 2.44-2.46
H  0.6196  0.0000  0.9837  2 Re 1.79-1.80
H  0.6196  0.5000  0.4837  2 Re 1.79-1.80
H  0.1765  0.0000  0.4389  3 Re 1.86-1.96
H  0.1765  0.5000  0.9389  3 Re 1.86-1.96

Results
As for the energy above the most stable polymorph in this dataset: 22 meV/atom. For the total magnetic moment, the calculation gives 0.0 μB/f.u.

***

(8)
First-principles (PBE) data for a geometry-optimized Ca2NdS3 structure, as listed in Alexandria.

Unit cell a=4.0272 b=5.7311 c=7.0217 alpha=114.09 beta=106.66 gamma=90.00
With the nearest neighbours (Å) after each atom.
Fractional positions:
Ca  0.8326  0.8326  0.1651  6 S 2.83-2.87
Ca  0.1674  0.1674  0.8349  6 S 2.83-2.87
Nd  0.5000  0.5000  0.5000  6 S 2.87-2.88
S  0.8308  0.3308  0.1615  4 Ca 2.83-2.87, 2 Nd 2.88
S  0.1692  0.6692  0.8385  4 Ca 2.83-2.87, 2 Nd 2.88
S  0.5000  0.0000  0.5000  4 Ca 2.87, 2 Nd 2.87

Results
For the total magnetic moment, the calculation gives 0.0 μB/f.u. The value obtained for the formation energy from raw total energies is -2.08 eV/atom.

***

(9)
First-principles (PBE) data for a geometry-optimized Ba2Si3HgPt12 structure, as listed in Alexandria.

Unit cell a=7.9764 b=7.9764 c=7.9764 alpha=63.35 beta=63.35 gamma=63.35
With the nearest neighbours (Å) after each atom.
Fractional positions:
Ba  0.6093  0.6093  0.6093  6 Pt 3.05-3.08
Ba  0.3907  0.3907  0.3907  6 Pt 3.05-3.08
Si  0.5000  0.0000  0.0000  6 Pt 2.32-2.37
Si  0.0000  0.5000  0.0000  6 Pt 2.32-2.37
Si  0.0000  0.0000  0.5000  6 Pt 2.32-2.37
Hg  0.0000  0.0000  0.0000  6 Pt 2.64
Pt  0.3455  0.3455  0.9072  2 Si 2.37
Pt  0.8733  0.8733  0.3885  1 Si 2.32
Pt  0.3885  0.8733  0.8733  1 Si 2.32
Pt  0.9072  0.3455  0.3455  2 Si 2.37
Pt  0.8733  0.3885  0.8733  1 Si 2.32
Pt  0.3455  0.9072  0.3455  2 Si 2.37
Pt  0.6545  0.6545  0.0928  2 Si 2.37
Pt  0.1267  0.1267  0.6115  1 Si 2.32
Pt  0.6115  0.1267  0.1267  1 Si 2.32
Pt  0.0928  0.6545  0.6545  2 Si 2.37
Pt  0.1267  0.6115  0.1267  1 Si 2.32
Pt  0.6545  0.0928  0.6545  2 Si 2.37

Results
For the total magnetic moment, the calculation gives 0.0 μB/f.u. The value obtained for the formation energy from raw total energies is -0.29 eV/atom.

***

(10)
First-principles (PBE) data for a geometry-optimized LaSn2As2 structure, as listed in Alexandria.

Unit cell a=4.2661 b=4.2661 c=8.0198 alpha=74.58 beta=74.58 gamma=90.00
With the nearest neighbours (Å) after each atom.
Fractional positions:
As  0.4162  0.4162  0.1676  1 As 2.49
As  0.5838  0.5838  0.8324  1 As 2.49
Sn  0.7500  0.2500  0.5000  4 Sn 3.02, 4 As 3.26
Sn  0.2500  0.7500  0.5000  4 Sn 3.02, 4 As 3.26
La  0.0000  0.0000  0.0000  8 As 3.26

Results
Its energy of formation is -0.47 eV per atom. For the total magnetic moment, the calculation gives 0.0 μB/f.u.

***

Q: Number 8 is which compound?
A: Ca2NdS3